[1]
# Na2NbPt, optimized geometry, DFT PBE
data_Na2NbPt
_cell_length_a 6.6960
_cell_length_b 6.6960
_cell_length_c 6.6960
_cell_angle_alpha 90.00
_cell_angle_beta 90.00
_cell_angle_gamma 90.00
_symmetry_space_group_name_H-M 'F m -3 m'
_symmetry_Int_Tables_number 225
_symmetry_space_group_name_Hall '-F 4 2 3'
loop_
_atom_site_label
_atom_site_type_symbol
_atom_site_fract_x
_atom_site_fract_y
_atom_site_fract_z
_atom_site_occupancy
Na1 Na 0.2500 0.2500 0.2500 1
Nb1 Nb 0.0000 0.0000 0.0000 1
Pt1 Pt 0.0000 0.0000 0.5000 1
# crystal system	cubic
# polymorph energy (0 for the lowest one)	21.1	kJ/mol of atoms
# energy of formation from the pure elements	0.938	eV per atom

---

[2]
# ReTe2Mo, optimized geometry, DFT PBE
data_ReTe2Mo
_cell_length_a 3.3187
_cell_length_b 3.3187
_cell_length_c 6.6230
_cell_angle_alpha 90.00
_cell_angle_beta 90.00
_cell_angle_gamma 90.00
_symmetry_space_group_name_H-M 'P 4/m m m'
_symmetry_Int_Tables_number 123
_symmetry_space_group_name_Hall '-P 4 2'
loop_
_atom_site_label
_atom_site_type_symbol
_atom_site_fract_x
_atom_site_fract_y
_atom_site_fract_z
_atom_site_occupancy
Re1 Re 0.0000 0.0000 0.0000 1
Te1 Te 0.5000 0.5000 0.2512 1
Mo1 Mo 0.0000 0.0000 0.5000 1
# crystal system	tetragonal
# polymorph energy (0 for the lowest one)	35.6	kJ/mol of atoms
# raw formation energy	0.57	eV per atom

---

[3]
# HfMg4Sc, optimized geometry, DFT PBE
data_HfMg4Sc
_cell_length_a 8.1346
_cell_length_b 8.1346
_cell_length_c 8.1346
_cell_angle_alpha 90.00
_cell_angle_beta 90.00
_cell_angle_gamma 90.00
_symmetry_space_group_name_H-M 'F -4 3 m'
_symmetry_Int_Tables_number 216
_symmetry_space_group_name_Hall 'F -4 2 3'
loop_
_atom_site_label
_atom_site_type_symbol
_atom_site_fract_x
_atom_site_fract_y
_atom_site_fract_z
_atom_site_occupancy
Hf1 Hf 0.0000 0.0000 0.0000 1
Mg1 Mg 0.1254 0.1254 0.3746 1
Sc1 Sc 0.2500 0.2500 0.7500 1
# crystal system	cubic
# polymorph energy (0 for the lowest one)	12.1	kJ/mol of atoms
# energy of formation from the pure elements	0.150	eV per atom

---

[4]
# PRu3, optimized geometry, DFT PBE
data_PRu3
_cell_length_a 3.7882
_cell_length_b 3.7882
_cell_length_c 3.7882
_cell_angle_alpha 90.00
_cell_angle_beta 90.00
_cell_angle_gamma 90.00
_symmetry_space_group_name_H-M 'P m -3 m'
_symmetry_Int_Tables_number 221
_symmetry_space_group_name_Hall '-P 4 2 3'
loop_
_atom_site_label
_atom_site_type_symbol
_atom_site_fract_x
_atom_site_fract_y
_atom_site_fract_z
_atom_site_occupancy
P1 P 0.0000 0.0000 0.0000 1
Ru1 Ru 0.0000 0.5000 0.5000 1
# crystal system	cubic
# polymorph energy (0 for the lowest one)	39.7	kJ/mol of atoms
# energy of formation from the pure elements	0.242	eV per atom

---

[5]
# Tm8Tc2Pb, optimized geometry, DFT PBE
data_Tm8Tc2Pb
_cell_length_a 17.9639
_cell_length_b 4.6763
_cell_length_c 7.3555
_cell_angle_alpha 90.00
_cell_angle_beta 109.70
_cell_angle_gamma 90.00
_symmetry_space_group_name_H-M 'C 1 2/m 1'
_symmetry_Int_Tables_number 12
loop_
_symmetry_equiv_pos_as_xyz
'x,y,z'
'-x,-y,-z'
'-x,y,-z'
'x,-y,z'
'x+1/2,y+1/2,z'
'-x+1/2,-y+1/2,-z'
'-x+1/2,y+1/2,-z'
'x+1/2,-y+1/2,z'
loop_
_atom_site_label
_atom_site_type_symbol
_atom_site_fract_x
_atom_site_fract_y
_atom_site_fract_z
_atom_site_occupancy
Tm1 Tm 0.0373 0.0000 0.2510 1
Tm2 Tm 0.1010 0.5000 0.9760 1
Tm3 Tm 0.1780 0.5000 0.4495 1
Tm4 Tm 0.2024 0.0000 0.8145 1
Tc1 Tc 0.1880 0.0000 0.1962 1
Pb1 Pb 0.0000 0.5000 0.5000 1
# crystal system	monoclinic
# energy of formation from the pure elements	-0.191	eV per atom

---

[6]
# TiNi2Hg, optimized geometry, DFT PBE
data_TiNi2Hg
_cell_length_a 6.1222
_cell_length_b 6.1222
_cell_length_c 6.1222
_cell_angle_alpha 90.00
_cell_angle_beta 90.00
_cell_angle_gamma 90.00
_symmetry_space_group_name_H-M 'F m -3 m'
_symmetry_Int_Tables_number 225
_symmetry_space_group_name_Hall '-F 4 2 3'
loop_
_atom_site_label
_atom_site_type_symbol
_atom_site_fract_x
_atom_site_fract_y
_atom_site_fract_z
_atom_site_occupancy
Ti1 Ti 0.0000 0.0000 0.0000 1
Ni1 Ni 0.2500 0.2500 0.2500 1
Hg1 Hg 0.0000 0.0000 0.5000 1
# crystal system	cubic
# polymorph energy (0 for the lowest one)	4.0	kJ/mol of atoms
# energy of formation from the pure elements	-0.146	eV per atom

---

[7]
# DyAs4Pd6, optimized geometry, DFT PBE
data_DyAs4Pd6
_cell_length_a 7.4183
_cell_length_b 7.4183
_cell_length_c 3.9909
_cell_angle_alpha 90.00
_cell_angle_beta 90.00
_cell_angle_gamma 120.00
_symmetry_space_group_name_H-M 'P -6 m 2'
_symmetry_Int_Tables_number 187
_symmetry_space_group_name_Hall 'P -6 2'
loop_
_atom_site_label
_atom_site_type_symbol
_atom_site_fract_x
_atom_site_fract_y
_atom_site_fract_z
_atom_site_occupancy
Dy1 Dy 0.0000 0.0000 0.0000 1
As1 As 0.3333 0.6667 0.0000 1
As2 As 0.3739 0.1870 0.5000 1
Pd1 Pd 0.1959 0.3919 0.5000 1
Pd2 Pd 0.5352 0.0705 0.0000 1
# crystal system	hexagonal
# energy of formation from the pure elements	-0.564	eV per atom

---

[8]
# LiPrTlRu, optimized geometry, DFT PBE
data_LiPrTlRu
_cell_length_a 6.9250
_cell_length_b 6.9250
_cell_length_c 6.9250
_cell_angle_alpha 90.00
_cell_angle_beta 90.00
_cell_angle_gamma 90.00
_symmetry_space_group_name_H-M 'F -4 3 m'
_symmetry_Int_Tables_number 216
_symmetry_space_group_name_Hall 'F -4 2 3'
loop_
_atom_site_label
_atom_site_type_symbol
_atom_site_fract_x
_atom_site_fract_y
_atom_site_fract_z
_atom_site_occupancy
Li1 Li 0.0000 0.0000 0.0000 1
Pr1 Pr 0.2500 0.2500 0.2500 1
Tl1 Tl 0.2500 0.2500 0.7500 1
Ru1 Ru 0.0000 0.0000 0.5000 1
# crystal system	cubic
# energy of formation from the pure elements	-0.046	eV per atom

---

| no. | calculated density (Mg/m³) |
| --- | --- |
| 1 | 7.39 |
| 2 | 12.23 |
| 3 | 3.96 |
| 4 | 10.21 |
| 5 | 10.02 |
| 6 | 10.59 |
| 7 | 9.61 |
| 8 | 9.07 |